# Ge3BiAs (GGA-PBE, optimized geometry)
data_Ge3BiAs
_chemical_formula_sum 'Ge3 Bi1 As1'
_cell_length_a 5.486
_cell_length_b 5.486
_cell_length_c 5.486
_cell_angle_alpha 90.00
_cell_angle_beta 90.00
_cell_angle_gamma 90.00
_symmetry_space_group_name_H-M 'P m -3 m'
_symmetry_Int_Tables_number 221
_symmetry_space_group_name_Hall '-P 4 2 3'
loop_
_atom_site_label
_atom_site_type_symbol
_atom_site_fract_x
_atom_site_fract_y
_atom_site_fract_z
Ge1 Ge 0.000 0.000 0.500
Bi1 Bi 0.000 0.000 0.000
As1 As 0.500 0.500 0.500
# VASP energy	-0.120	Ha/atom
# total magnetic moment	0.00	μB per formula unit
# crystal system	cubic
# E above lowest polymorph	662	meV/atom
# ΔH_f (0 K)	1.215	eV/atom
# DOS(E_F)	2.63	states/eV/f.u.


# SrLiCu2 (GGA-PBE, optimized geometry)
data_SrLiCu2
_chemical_formula_sum 'Sr2 Li2 Cu4'
_cell_length_a 4.356
_cell_length_b 6.771
_cell_length_c 5.834
_cell_angle_alpha 90.00
_cell_angle_beta 90.00
_cell_angle_gamma 90.00
_symmetry_space_group_name_H-M 'P m m n'
_symmetry_Int_Tables_number 59
loop_
_symmetry_equiv_pos_as_xyz
'x,y,z'
'-x,-y,-z'
'-x+1/2,-y+1/2,z'
'x+1/2,y+1/2,-z'
'x+1/2,-y,-z'
'-x+1/2,y,z'
'-x,y+1/2,-z'
'x,-y+1/2,z'
loop_
_atom_site_label
_atom_site_type_symbol
_atom_site_fract_x
_atom_site_fract_y
_atom_site_fract_z
Sr1 Sr 0.250 0.250 0.131
Li1 Li 0.250 0.750 0.357
Cu1 Cu 0.250 0.058 0.608
# VASP energy	-0.110	Ha/atom
# total magnetic moment	0.00	μB per formula unit
# crystal system	orthorhombic
# E above lowest polymorph	0	meV/atom
# ΔH_f (0 K)	-0.049	eV/atom
# DOS(E_F)	1.39	states/eV/f.u.


# YAl4NiPd2 (GGA-PBE, optimized geometry)
data_YAl4NiPd2
_chemical_formula_sum 'Y3 Al12 Ni3 Pd6'
_cell_length_a 4.2264
_cell_length_b 4.2264
_cell_length_c 26.0692
_cell_angle_alpha 90.00
_cell_angle_beta 90.00
_cell_angle_gamma 120.00
_symmetry_space_group_name_H-M 'R -3 m'
_symmetry_Int_Tables_number 166
_symmetry_space_group_name_Hall '-R 3 2"'
loop_
_atom_site_label
_atom_site_type_symbol
_atom_site_fract_x
_atom_site_fract_y
_atom_site_fract_z
Y1 Y 0.0000 0.0000 0.0000
Al1 Al 0.0000 0.0000 0.1361
Al2 Al 0.0000 0.0000 0.4053
Ni1 Ni 0.0000 0.0000 0.5000
Pd1 Pd 0.0000 0.0000 0.2380
# VASP energy	-0.199	Ha/atom
# total magnetic moment	0.00	μB per formula unit
# crystal system	trigonal
# ΔH_f (0 K)	-0.709	eV/atom
# DOS(E_F)	4.68	states/eV/f.u.


# Th4BiH3Rh12 (GGA-PBE, optimized geometry)
data_Th4BiH3Rh12
_chemical_formula_sum 'Th8 Bi2 H6 Rh24'
_cell_length_a 8.657
_cell_length_b 8.657
_cell_length_c 8.657
_cell_angle_alpha 90.00
_cell_angle_beta 90.00
_cell_angle_gamma 90.00
_symmetry_space_group_name_H-M 'I m -3 m'
_symmetry_Int_Tables_number 229
_symmetry_space_group_name_Hall '-I 4 2 3'
loop_
_atom_site_label
_atom_site_type_symbol
_atom_site_fract_x
_atom_site_fract_y
_atom_site_fract_z
Th1 Th 0.250 0.250 0.250
Bi1 Bi 0.000 0.000 0.000
H1 H 0.000 0.000 0.500
Rh1 Rh 0.000 0.000 0.297
Rh2 Rh 0.000 0.250 0.500
# VASP energy	-0.263	Ha/atom
# total magnetic moment	0.00	μB per formula unit
# crystal system	cubic
# DOS(E_F)	15.83	states/eV/f.u.


# Ac2LuSn (GGA-PBE, optimized geometry)
data_Ac2LuSn
_chemical_formula_sum 'Ac2 Lu1 Sn1'
_cell_length_a 5.195
_cell_length_b 5.195
_cell_length_c 5.064
_cell_angle_alpha 90.00
_cell_angle_beta 90.00
_cell_angle_gamma 90.00
_symmetry_space_group_name_H-M 'P 4/m m m'
_symmetry_Int_Tables_number 123
_symmetry_space_group_name_Hall '-P 4 2'
loop_
_atom_site_label
_atom_site_type_symbol
_atom_site_fract_x
_atom_site_fract_y
_atom_site_fract_z
Ac1 Ac 0.000 0.500 0.000
Lu1 Lu 0.000 0.000 0.500
Sn1 Sn 0.500 0.500 0.500
# VASP energy	-0.164	Ha/atom
# total magnetic moment	0.00	μB per formula unit
# crystal system	tetragonal
# E above lowest polymorph	0	meV/atom
# ΔH_f (0 K)	-0.289	eV/atom
# DOS(E_F)	4.74	states/eV/f.u.


# YTaBi2 (GGA-PBE, optimized geometry)
data_YTaBi2
_chemical_formula_sum 'Y4 Ta4 Bi8'
_cell_length_a 7.346
_cell_length_b 7.346
_cell_length_c 7.346
_cell_angle_alpha 90.00
_cell_angle_beta 90.00
_cell_angle_gamma 90.00
_symmetry_space_group_name_H-M 'F m -3 m'
_symmetry_Int_Tables_number 225
_symmetry_space_group_name_Hall '-F 4 2 3'
loop_
_atom_site_label
_atom_site_type_symbol
_atom_site_fract_x
_atom_site_fract_y
_atom_site_fract_z
Y1 Y 0.000 0.000 0.000
Ta1 Ta 0.000 0.000 0.500
Bi1 Bi 0.250 0.250 0.250
# VASP energy	-0.237	Ha/atom
# total magnetic moment	0.00	μB per formula unit
# crystal system	cubic
# E above lowest polymorph	0	meV/atom
# ΔH_f (0 K)	0.058	eV/atom
# DOS(E_F)	5.91	states/eV/f.u.


# Pr2As3Rh4Au (GGA-PBE, optimized geometry)
data_Pr2As3Rh4Au
_chemical_formula_sum 'Pr2 As3 Rh4 Au1'
_cell_length_a 4.244
_cell_length_b 4.244
_cell_length_c 10.582
_cell_angle_alpha 90.00
_cell_angle_beta 90.00
_cell_angle_gamma 90.00
_symmetry_space_group_name_H-M 'P -4 m 2'
_symmetry_Int_Tables_number 115
_symmetry_space_group_name_Hall 'P -4 -2'
loop_
_atom_site_label
_atom_site_type_symbol
_atom_site_fract_x
_atom_site_fract_y
_atom_site_fract_z
Pr1 Pr 0.000 0.500 0.244
As1 As 0.000 0.000 0.000
As2 As 0.000 0.500 0.630
Rh1 Rh 0.000 0.000 0.500
Rh2 Rh 0.000 0.500 0.853
Rh3 Rh 0.500 0.500 0.500
Au1 Au 0.500 0.500 0.000
# VASP energy	-0.236	Ha/atom
# total magnetic moment	0.00	μB per formula unit
# crystal system	tetragonal
# ΔH_f (0 K)	-0.790	eV/atom
# DOS(E_F)	4.59	states/eV/f.u.


# AcLa4Y10 (GGA-PBE, optimized geometry)
data_AcLa4Y10
_chemical_formula_sum 'Ac2 La8 Y20'
_cell_length_a 9.882
_cell_length_b 9.882
_cell_length_c 10.952
_cell_angle_alpha 90.00
_cell_angle_beta 90.00
_cell_angle_gamma 90.00
_symmetry_space_group_name_H-M 'I 4/m'
_symmetry_Int_Tables_number 87
_symmetry_space_group_name_Hall '-I 4'
loop_
_atom_site_label
_atom_site_type_symbol
_atom_site_fract_x
_atom_site_fract_y
_atom_site_fract_z
Ac1 Ac 0.000 0.000 0.000
La1 La 0.068 0.655 0.000
Y1 Y 0.000 0.500 0.250
Y2 Y 0.118 0.791 0.343
# VASP energy	-0.205	Ha/atom
# total magnetic moment	0.00	μB per formula unit
# crystal system	tetragonal
# ΔH_f (0 K)	0.327	eV/atom
# DOS(E_F)	23.40	states/eV/f.u.


# SrAcNd2 (GGA-PBE, optimized geometry)
data_SrAcNd2
_chemical_formula_sum 'Sr1 Ac1 Nd2'
_cell_length_a 3.874
_cell_length_b 3.874
_cell_length_c 11.004
_cell_angle_alpha 90.00
_cell_angle_beta 90.00
_cell_angle_gamma 90.00
_symmetry_space_group_name_H-M 'P 4/m m m'
_symmetry_Int_Tables_number 123
_symmetry_space_group_name_Hall '-P 4 2'
loop_
_atom_site_label
_atom_site_type_symbol
_atom_site_fract_x
_atom_site_fract_y
_atom_site_fract_z
Sr1 Sr 0.000 0.000 0.000
Ac1 Ac 0.000 0.000 0.500
Nd1 Nd 0.500 0.500 0.267
# VASP energy	-0.137	Ha/atom
# total magnetic moment	0.00	μB per formula unit
# crystal system	tetragonal
# E above lowest polymorph	0	meV/atom
# ΔH_f (0 K)	0.094	eV/atom
# DOS(E_F)	7.34	states/eV/f.u.


# CeYMnZn (GGA-PBE, optimized geometry)
data_CeYMnZn
_chemical_formula_sum 'Ce4 Y4 Mn4 Zn4'
_cell_length_a 7.113
_cell_length_b 7.113
_cell_length_c 7.113
_cell_angle_alpha 90.00
_cell_angle_beta 90.00
_cell_angle_gamma 90.00
_symmetry_space_group_name_H-M 'F -4 3 m'
_symmetry_Int_Tables_number 216
_symmetry_space_group_name_Hall 'F -4 2 3'
loop_
_atom_site_label
_atom_site_type_symbol
_atom_site_fract_x
_atom_site_fract_y
_atom_site_fract_z
Ce1 Ce 0.000 0.000 0.000
Y1 Y 0.000 0.000 0.500
Mn1 Mn 0.250 0.250 0.750
Zn1 Zn 0.250 0.250 0.250
# VASP energy	-0.210	Ha/atom
# total magnetic moment	1.88	μB per formula unit
# crystal system	cubic
# ΔH_f (0 K)	-0.009	eV/atom
# DOS(E_F)	5.77	states/eV/f.u.


# TcB2W (GGA-PBE, optimized geometry)
data_TcB2W
_chemical_formula_sum 'Tc4 B8 W4'
_cell_length_a 5.613
_cell_length_b 5.159
_cell_length_c 5.929
_cell_angle_alpha 90.00
_cell_angle_beta 90.00
_cell_angle_gamma 90.00
_symmetry_space_group_name_H-M 'P n m a'
_symmetry_Int_Tables_number 62
_symmetry_space_group_name_Hall '-P 2ac 2n'
loop_
_atom_site_label
_atom_site_type_symbol
_atom_site_fract_x
_atom_site_fract_y
_atom_site_fract_z
Tc1 Tc 0.195 0.250 0.178
B1 B 0.140 0.579 0.971
W1 W 0.046 0.250 0.691
# VASP energy	-0.343	Ha/atom
# total magnetic moment	0.00	μB per formula unit
# crystal system	orthorhombic
# E above lowest polymorph	0	meV/atom
# ΔH_f (0 K)	-0.177	eV/atom
# DOS(E_F)	1.73	states/eV/f.u.


# K3I (GGA-PBE, optimized geometry)
data_K3I
_chemical_formula_sum 'K3 I1'
_cell_length_a 6.025
_cell_length_b 6.025
_cell_length_c 6.025
_cell_angle_alpha 90.00
_cell_angle_beta 90.00
_cell_angle_gamma 90.00
_symmetry_space_group_name_H-M 'P m -3 m'
_symmetry_Int_Tables_number 221
_symmetry_space_group_name_Hall '-P 4 2 3'
loop_
_atom_site_label
_atom_site_type_symbol
_atom_site_fract_x
_atom_site_fract_y
_atom_site_fract_z
K1 K 0.000 0.000 0.500
I1 I 0.500 0.500 0.500
# VASP energy	-0.065	Ha/atom
# total magnetic moment	0.00	μB per formula unit
# crystal system	cubic
# formation energy (no corrections)	-553	meV/atom
# DOS(E_F)	1.04	states/eV/f.u.


# LaPrZnNi (GGA-PBE, optimized geometry)
data_LaPrZnNi
_chemical_formula_sum 'La4 Pr4 Zn4 Ni4'
_cell_length_a 7.290
_cell_length_b 7.290
_cell_length_c 7.290
_cell_angle_alpha 90.00
_cell_angle_beta 90.00
_cell_angle_gamma 90.00
_symmetry_space_group_name_H-M 'F -4 3 m'
_symmetry_Int_Tables_number 216
_symmetry_space_group_name_Hall 'F -4 2 3'
loop_
_atom_site_label
_atom_site_type_symbol
_atom_site_fract_x
_atom_site_fract_y
_atom_site_fract_z
La1 La 0.000 0.000 0.000
Pr1 Pr 0.000 0.000 0.500
Zn1 Zn 0.250 0.250 0.750
Ni1 Ni 0.250 0.250 0.250
# VASP energy	-0.162	Ha/atom
# total magnetic moment	0.00	μB per formula unit
# crystal system	cubic
# E above lowest polymorph	54	meV/atom
# ΔH_f (0 K)	-0.223	eV/atom
# DOS(E_F)	3.20	states/eV/f.u.


# MnAuCl2 (GGA-PBE, optimized geometry)
data_MnAuCl2
_chemical_formula_sum 'Mn1 Au1 Cl2'
_cell_length_a 3.514
_cell_length_b 4.001
_cell_length_c 5.783
_cell_angle_alpha 90.00
_cell_angle_beta 90.00
_cell_angle_gamma 90.00
_symmetry_space_group_name_H-M 'P m m m'
_symmetry_Int_Tables_number 47
_symmetry_space_group_name_Hall '-P 2 2'
loop_
_atom_site_label
_atom_site_type_symbol
_atom_site_fract_x
_atom_site_fract_y
_atom_site_fract_z
Mn1 Mn 0.000 0.000 0.000
Au1 Au 0.500 0.000 0.500
Cl1 Cl 0.000 0.500 0.500
Cl2 Cl 0.500 0.500 0.000
# VASP energy	-0.147	Ha/atom
# total magnetic moment	4.51	μB per formula unit
# crystal system	orthorhombic
# E above lowest polymorph	460	meV/atom
# formation energy (no corrections)	25	meV/atom
# DOS(E_F)	2.21	states/eV/f.u.


# Rb2YMn4 (GGA-PBE, optimized geometry)
data_Rb2YMn4
_chemical_formula_sum 'Rb4 Y2 Mn8'
_cell_length_a 5.551
_cell_length_b 5.551
_cell_length_c 18.303
_cell_angle_alpha 90.00
_cell_angle_beta 90.00
_cell_angle_gamma 90.00
_symmetry_space_group_name_H-M 'I 4/m m m'
_symmetry_Int_Tables_number 139
_symmetry_space_group_name_Hall '-I 4 2'
loop_
_atom_site_label
_atom_site_type_symbol
_atom_site_fract_x
_atom_site_fract_y
_atom_site_fract_z
Rb1 Rb 0.000 0.000 0.139
Y1 Y 0.000 0.000 0.500
Mn1 Mn 0.000 0.000 0.351
Mn2 Mn 0.000 0.500 0.000
# VASP energy	-0.189	Ha/atom
# total magnetic moment	16.62	μB per formula unit
# crystal system	tetragonal
# ΔH_f (0 K)	1.310	eV/atom
# DOS(E_F)	6.89	states/eV/f.u.


# Pm2SeI (GGA-PBE, optimized geometry)
data_Pm2SeI
_chemical_formula_sum 'Pm6 Se3 I3'
_cell_length_a 4.3388
_cell_length_b 4.3388
_cell_length_c 22.1166
_cell_angle_alpha 90.00
_cell_angle_beta 90.00
_cell_angle_gamma 120.00
_symmetry_space_group_name_H-M 'R -3 m'
_symmetry_Int_Tables_number 166
_symmetry_space_group_name_Hall '-R 3 2"'
loop_
_atom_site_label
_atom_site_type_symbol
_atom_site_fract_x
_atom_site_fract_y
_atom_site_fract_z
Pm1 Pm 0.0000 0.0000 0.2295
Se1 Se 0.0000 0.0000 0.5000
I1 I 0.0000 0.0000 0.0000
# VASP energy	-0.182	Ha/atom
# total magnetic moment	0.00	μB per formula unit
# crystal system	trigonal
# E above lowest polymorph	7	meV/atom
# formation energy (no corrections)	-1322	meV/atom
# DOS(E_F)	2.13	states/eV/f.u.


# TiCr2Au (GGA-PBE, optimized geometry)
data_TiCr2Au
_chemical_formula_sum 'Ti4 Cr8 Au4'
_cell_length_a 6.198
_cell_length_b 6.198
_cell_length_c 6.198
_cell_angle_alpha 90.00
_cell_angle_beta 90.00
_cell_angle_gamma 90.00
_symmetry_space_group_name_H-M 'F m -3 m'
_symmetry_Int_Tables_number 225
_symmetry_space_group_name_Hall '-F 4 2 3'
loop_
_atom_site_label
_atom_site_type_symbol
_atom_site_fract_x
_atom_site_fract_y
_atom_site_fract_z
Ti1 Ti 0.000 0.000 0.000
Cr1 Cr 0.250 0.250 0.250
Au1 Au 0.000 0.000 0.500
# VASP energy	-0.269	Ha/atom
# total magnetic moment	4.09	μB per formula unit
# crystal system	cubic
# E above lowest polymorph	0	meV/atom
# ΔH_f (0 K)	0.273	eV/atom
# DOS(E_F)	5.29	states/eV/f.u.


# BaSnPdPt2 (GGA-PBE, optimized geometry)
data_BaSnPdPt2
_chemical_formula_sum 'Ba1 Sn1 Pd1 Pt2'
_cell_length_a 5.303
_cell_length_b 5.303
_cell_length_c 6.190
_cell_angle_alpha 90.00
_cell_angle_beta 90.00
_cell_angle_gamma 90.00
_symmetry_space_group_name_H-M 'P 4/m m m'
_symmetry_Int_Tables_number 123
_symmetry_space_group_name_Hall '-P 4 2'
loop_
_atom_site_label
_atom_site_type_symbol
_atom_site_fract_x
_atom_site_fract_y
_atom_site_fract_z
Ba1 Ba 0.000 0.000 0.000
Sn1 Sn 0.000 0.000 0.500
Pd1 Pd 0.500 0.500 0.500
Pt1 Pt 0.000 0.500 0.000
# VASP energy	-0.112	Ha/atom
# total magnetic moment	0.00	μB per formula unit
# crystal system	tetragonal
# ΔH_f (0 K)	1.591	eV/atom
# DOS(E_F)	4.18	states/eV/f.u.


# BaTaPb (GGA-PBE, optimized geometry)
data_BaTaPb
_chemical_formula_sum 'Ba4 Ta4 Pb4'
_cell_length_a 4.220
_cell_length_b 5.027
_cell_length_c 16.089
_cell_angle_alpha 90.00
_cell_angle_beta 90.00
_cell_angle_gamma 90.00
_symmetry_space_group_name_H-M 'F m m 2'
_symmetry_Int_Tables_number 42
_symmetry_space_group_name_Hall 'F 2 -2'
loop_
_atom_site_label
_atom_site_type_symbol
_atom_site_fract_x
_atom_site_fract_y
_atom_site_fract_z
Ba1 Ba 0.000 0.000 0.000
Ta1 Ta 0.000 0.000 0.673
Pb1 Pb 0.000 0.000 0.308
# VASP energy	-0.191	Ha/atom
# total magnetic moment	0.00	μB per formula unit
# crystal system	orthorhombic
# E above lowest polymorph	12	meV/atom
# ΔH_f (0 K)	0.622	eV/atom
# DOS(E_F)	3.66	states/eV/f.u.


# PrYTlSn (GGA-PBE, optimized geometry)
data_PrYTlSn
_chemical_formula_sum 'Pr4 Y4 Tl4 Sn4'
_cell_length_a 7.718
_cell_length_b 7.718
_cell_length_c 7.718
_cell_angle_alpha 90.00
_cell_angle_beta 90.00
_cell_angle_gamma 90.00
_symmetry_space_group_name_H-M 'F -4 3 m'
_symmetry_Int_Tables_number 216
_symmetry_space_group_name_Hall 'F -4 2 3'
loop_
_atom_site_label
_atom_site_type_symbol
_atom_site_fract_x
_atom_site_fract_y
_atom_site_fract_z
Pr1 Pr 0.000 0.000 0.000
Y1 Y 0.000 0.000 0.500
Tl1 Tl 0.250 0.250 0.250
Sn1 Sn 0.250 0.250 0.750
# VASP energy	-0.180	Ha/atom
# total magnetic moment	0.00	μB per formula unit
# crystal system	cubic
# ΔH_f (0 K)	-0.493	eV/atom
# DOS(E_F)	2.80	states/eV/f.u.